(1)
Computed, not measured: a relaxed structure of TiCo2Ge2 at the GGA-PBE level of DFT.

ΔH_f (0 K) in eV/atom: -0.26
DOS(E_F) in states/eV per atom: 0.91

a = 7.0093 Å, b = 7.0093 Å, c = 2.6872 Å
α = 90.00°, β = 90.00°, γ = 90.00°
Space group P4/mbm (No. 127)
One atom of each set of equivalent atoms:
Ti1 0.0000 0.0000 0.0000 [2 per cell]
Co1 0.1444 0.3556 0.5000 [4 per cell]
Ge1 0.1513 0.6513 0.0000 [4 per cell]

---

(2)
Computed, not measured: a relaxed structure of TlCoGe2 at the GGA-PBE level of DFT.

Energy above the lowest structure with this stoichiometry in meV/atom: 0
ΔH_f (0 K) in eV/atom: 0.27
DOS(E_F) in states/eV per atom: 0.26

a = 5.7287 Å, b = 5.7287 Å, c = 13.2377 Å
α = 90.00°, β = 90.00°, γ = 90.00°
Space group I-42d (No. 122)
One atom of each set of equivalent atoms:
Tl1 0.0000 0.0000 0.0000 [4 per cell]
Co1 0.0000 0.0000 0.5000 [4 per cell]
Ge1 0.0103 0.2500 0.6250 [8 per cell]

---

(3)
Computed, not measured: a relaxed structure of TlCoGe2 at the GGA-PBE level of DFT.

Energy above the lowest structure with this stoichiometry in meV/atom: 349
ΔH_f (0 K) in eV/atom: 0.62
DOS(E_F) in states/eV per atom: 0.57

a = 6.6823 Å, b = 6.6823 Å, c = 6.6823 Å
α = 90.00°, β = 90.00°, γ = 90.00°
Space group Fm-3m (No. 225)
One atom of each set of equivalent atoms:
Tl1 0.0000 0.0000 0.0000 [4 per cell]
Co1 0.0000 0.0000 0.5000 [4 per cell]
Ge1 0.2500 0.2500 0.2500 [8 per cell]

---

(4)
Computed, not measured: a relaxed structure of TlCo2Ge at the GGA-PBE level of DFT.

Energy above the lowest structure with this stoichiometry in meV/atom: 0
ΔH_f (0 K) in eV/atom: 0.38
DOS(E_F) in states/eV per atom: 0.53

a = 6.1670 Å, b = 6.1670 Å, c = 6.1670 Å
α = 90.00°, β = 90.00°, γ = 90.00°
Space group Fm-3m (No. 225)
One atom of each set of equivalent atoms:
Tl1 0.0000 0.0000 0.0000 [4 per cell]
Co1 0.2500 0.2500 0.2500 [8 per cell]
Ge1 0.0000 0.0000 0.5000 [4 per cell]

---

(5)
Computed, not measured: a relaxed structure of Tl2CoGe2 at the GGA-PBE level of DFT.

ΔH_f (0 K) in eV/atom: 0.23
DOS(E_F) in states/eV per atom: 0.59

a = 6.2848 Å, b = 6.2848 Å, c = 5.5524 Å
α = 90.00°, β = 90.00°, γ = 90.00°
Space group P4/mbm (No. 127)
One atom of each set of equivalent atoms:
Tl1 0.1865 0.3135 0.0000 [4 per cell]
Co1 0.0000 0.0000 0.5000 [2 per cell]
Ge1 0.1647 0.6647 0.5000 [4 per cell]

---

(6)
Computed, not measured: a relaxed structure of TlCo2Ge at the GGA-PBE level of DFT.

Energy above the lowest structure with this stoichiometry in meV/atom: 124
ΔH_f (0 K) in eV/atom: 0.51
DOS(E_F) in states/eV per atom: 0.77

a = 6.7212 Å, b = 6.7212 Å, c = 5.7246 Å
α = 90.00°, β = 90.00°, γ = 90.00°
Space group I-42d (No. 122)
One atom of each set of equivalent atoms:
Tl1 0.0000 0.0000 0.0000 [4 per cell]
Co1 0.2021 0.2500 0.6250 [8 per cell]
Ge1 0.0000 0.0000 0.5000 [4 per cell]

---

(7)
Computed, not measured: a relaxed structure of Tl2CoGe at the GGA-PBE level of DFT.

ΔH_f (0 K) in eV/atom: 0.23
DOS(E_F) in states/eV per atom: 0.66

a = 10.0760 Å, b = 10.0760 Å, c = 4.5118 Å
α = 90.00°, β = 90.00°, γ = 90.00°
Space group I-42d (No. 122)
One atom of each set of equivalent atoms:
Tl1 0.0044 0.2500 0.1250 [8 per cell]
Co1 0.0000 0.0000 0.0000 [4 per cell]
Ge1 0.0000 0.0000 0.5000 [4 per cell]

---

(8)
Computed, not measured: a relaxed structure of Tm2Co2Ge at the GGA-PBE level of DFT.

ΔH_f (0 K) in eV/atom: -0.52
DOS(E_F) in states/eV per atom: 0.92

a = 9.1815 Å, b = 5.3040 Å, c = 7.3917 Å
α = 90.00°, β = 103.48°, γ = 90.00°
Space group C2/c (No. 15)
One atom of each set of equivalent atoms:
Tm1 0.1479 0.1442 0.1476 [8 per cell]
Co1 0.1384 0.3592 0.5017 [8 per cell]
Ge1 0.0000 0.3664 0.7500 [4 per cell]

---

(9)
Computed, not measured: a relaxed structure of Tm2Co3Ge5 at the GGA-PBE level of DFT.

Energy above the lowest structure with this stoichiometry in meV/atom: 50
ΔH_f (0 K) in eV/atom: -0.51
DOS(E_F) in states/eV per atom: 0.59

a = 4.0461 Å, b = 23.9701 Å, c = 6.5789 Å
α = 90.00°, β = 90.00°, γ = 90.00°
Space group Cmc2_1 (No. 36)
One atom of each set of equivalent atoms:
Tm1 0.0000 0.0231 0.0000 [4 per cell]
Tm2 0.0000 0.3259 0.0189 [4 per cell]
Co1 0.0000 0.1077 0.2691 [4 per cell]
Co2 0.0000 0.2793 0.5087 [4 per cell]
Co3 0.0000 0.4472 0.2175 [4 per cell]
Ge1 0.0000 0.0954 0.6345 [4 per cell]
Ge2 0.0000 0.2065 0.2185 [4 per cell]
Ge3 0.0000 0.2114 0.8004 [4 per cell]
Ge4 0.0000 0.3806 0.5135 [4 per cell]
Ge5 0.0000 0.4509 0.8337 [4 per cell]

---

(10)
Computed, not measured: a relaxed structure of TmCo2Ge3 at the GGA-PBE level of DFT.

Energy above the lowest structure with this stoichiometry in meV/atom: 0
ΔH_f (0 K) in eV/atom: -0.43
DOS(E_F) in states/eV per atom: 0.43

a = 15.6452 Å, b = 3.8961 Å, c = 9.5451 Å
α = 90.00°, β = 103.97°, γ = 90.00°
Space group C2/m (No. 12)
One atom of each set of equivalent atoms:
Tm1 0.0000 0.0000 0.0000 [2 per cell]
Tm2 0.1484 0.0000 0.6957 [4 per cell]
Co1 0.0041 0.5000 0.7638 [4 per cell]
Co2 0.1432 0.5000 0.4375 [4 per cell]
Co3 0.2071 0.0000 0.0828 [4 per cell]
Ge1 0.0000 0.5000 0.5000 [2 per cell]
Ge2 0.0525 0.0000 0.3510 [4 per cell]
Ge3 0.1397 0.5000 0.1814 [4 per cell]
Ge4 0.1431 0.5000 0.9189 [4 per cell]
Ge5 0.2288 0.0000 0.3741 [4 per cell]